# TlFeAg (GGA-PBE, optimized geometry)
data_TlFeAg
_chemical_formula_sum 'Tl1 Fe1 Ag1'
_symmetry_space_group_name_H-M 'P 1'
_symmetry_Int_Tables_number 1
_symmetry_space_group_name_Hall 'P 1'
_cell_length_a 4.615
_cell_length_b 4.615
_cell_length_c 3.036
_cell_angle_alpha 90.00
_cell_angle_beta 90.00
_cell_angle_gamma 120.00
loop_
_atom_site_label
_atom_site_fract_x
_atom_site_fract_y
_atom_site_fract_z
_atom_site_occupancy
Tl1 0.000 0.000 0.000 1
Fe1 0.667 0.333 0.713 1
Ag1 0.333 0.667 0.365 1
# Relative energy among the computed polymorphs   77 meV per atom
# Crystal system   trigonal
# VASP energy   -3.996 eV per atom
# Formation energy   0.564 eV per atom